# 1
PBE HoBOs, relaxed; E = -46.6 eV/cell; DOS at the Fermi energy = 0.664 states/eV/atom; energy of formation = -0.269 eV/atom; crystal system = tetragonal; space group = I4/mmm (139); energy above the most stable polymorph in this dataset = 125 meV/atom
1.0
-1.9088 1.9088 6.9281
1.9088 -1.9088 6.9281
1.9088 1.9088 -6.9281
Ho B Os
2 2 2
Direct
0.1578 0.1578 0.0000 Ho
0.8422 0.8422 0.0000 Ho
0.4091 0.4091 0.0000 B
0.5909 0.5909 0.0000 B
0.0000 0.5000 0.5000 Os
0.5000 0.0000 0.5000 Os

---

# 2
PBE HoB2OsRu, relaxed; E = -40.6 eV/cell; DOS at the Fermi energy = 0.379 states/eV/atom; energy of formation = -0.440 eV/atom; crystal system = tetragonal; space group = I-4m2 (119)
1.0
-2.0102 2.0102 4.6306
2.0102 -2.0102 4.6306
2.0102 2.0102 -4.6306
Ho B Os Ru
1 2 1 1
Direct
0.0000 0.0000 0.0000 Ho
0.3219 0.3219 0.0000 B
0.6781 0.6781 0.0000 B
0.7500 0.2500 0.5000 Os
0.2500 0.7500 0.5000 Ru

---

# 3
PBE Ho2Si2BOs2, relaxed; E = -54.6 eV/cell; uncorrected formation energy = -0.77 eV/atom; DOS at the Fermi energy = 0.418 states/eV/atom; crystal system = monoclinic; space group = C2/m (12)
1.0
5.3902 -2.0705 0.0000
5.3902 2.0705 0.0000
-4.2561 0.0000 5.4107
Ho Si B Os
2 2 1 2
Direct
0.0669 0.0669 0.3325 Ho
0.9331 0.9331 0.6675 Ho
0.3495 0.3495 0.8999 Si
0.6505 0.6505 0.1001 Si
0.5000 0.5000 0.5000 B
0.2858 0.2858 0.1822 Os
0.7142 0.7142 0.8178 Os